No. 1
# SCAN AsCI3, PBEsol geometry
data_AsCI3
_cell_length_a 5.5713
_cell_length_b 5.5713
_cell_length_c 5.5713
_cell_angle_alpha 90.00
_cell_angle_beta 90.00
_cell_angle_gamma 90.00
_symmetry_space_group_name_H-M 'P m -3 m'
_symmetry_Int_Tables_number 221
_symmetry_space_group_name_Hall '-P 4 2 3'
loop_
_atom_site_label
_atom_site_type_symbol
_atom_site_fract_x
_atom_site_fract_y
_atom_site_fract_z
_atom_site_occupancy
As1 As 0.0000 0.0000 0.0000 1
C1 C 0.5000 0.5000 0.5000 1
I1 I 0.0000 0.0000 0.5000 1
# E above lowest polymorph   0.098 eV per atom
# N(E_F)   1.399 states/eV per atom
# Final energy   -132.82 eV/cell
# Energy relative to the elements, uncorrected   1.5397 eV/atom

No. 2
# SCAN AsC3I, PBEsol geometry
data_AsC3I
_cell_length_a 4.0828
_cell_length_b 4.0828
_cell_length_c 4.0828
_cell_angle_alpha 90.00
_cell_angle_beta 90.00
_cell_angle_gamma 90.00
_symmetry_space_group_name_H-M 'P m -3 m'
_symmetry_Int_Tables_number 221
_symmetry_space_group_name_Hall '-P 4 2 3'
loop_
_atom_site_label
_atom_site_type_symbol
_atom_site_fract_x
_atom_site_fract_y
_atom_site_fract_z
_atom_site_occupancy
As1 As 0.0000 0.0000 0.0000 1
C1 C 0.0000 0.5000 0.5000 1
I1 I 0.5000 0.5000 0.5000 1
# N(E_F)   0.628 states/eV per atom
# Final energy   -69.19 eV/cell
# Energy relative to the elements, uncorrected   3.6086 eV/atom

No. 3
# SCAN InAsCSe2, PBEsol geometry
data_InAsCSe2
_cell_length_a 5.1692
_cell_length_b 5.1692
_cell_length_c 5.1940
_cell_angle_alpha 90.00
_cell_angle_beta 90.00
_cell_angle_gamma 90.00
_symmetry_space_group_name_H-M 'P 4/m m m'
_symmetry_Int_Tables_number 123
_symmetry_space_group_name_Hall '-P 4 2'
loop_
_atom_site_label
_atom_site_type_symbol
_atom_site_fract_x
_atom_site_fract_y
_atom_site_fract_z
_atom_site_occupancy
In1 In 0.0000 0.0000 0.0000 1
As1 As 0.0000 0.0000 0.5000 1
C1 C 0.5000 0.5000 0.5000 1
Se1 Se 0.0000 0.5000 0.0000 1
# N(E_F)   0.792 states/eV per atom
# Final energy   -93.94 eV/cell
# Energy relative to the elements, uncorrected   1.9787 eV/atom

No. 4
# SCAN KAsC3, PBEsol geometry
data_KAsC3
_cell_length_a 4.2875
_cell_length_b 4.2875
_cell_length_c 4.2875
_cell_angle_alpha 90.00
_cell_angle_beta 90.00
_cell_angle_gamma 90.00
_symmetry_space_group_name_H-M 'P m -3 m'
_symmetry_Int_Tables_number 221
_symmetry_space_group_name_Hall '-P 4 2 3'
loop_
_atom_site_label
_atom_site_type_symbol
_atom_site_fract_x
_atom_site_fract_y
_atom_site_fract_z
_atom_site_occupancy
K1 K 0.0000 0.0000 0.0000 1
As1 As 0.5000 0.5000 0.5000 1
C1 C 0.0000 0.0000 0.5000 1
# E_form   4454.4 meV per atom
# N(E_F)   0.578 states/eV per atom
# Final energy   -36.55 eV/cell

No. 5
# SCAN LiAs3C, PBEsol geometry
data_LiAs3C
_cell_length_a 4.3472
_cell_length_b 4.3472
_cell_length_c 4.3472
_cell_angle_alpha 90.00
_cell_angle_beta 90.00
_cell_angle_gamma 90.00
_symmetry_space_group_name_H-M 'P m -3 m'
_symmetry_Int_Tables_number 221
_symmetry_space_group_name_Hall '-P 4 2 3'
loop_
_atom_site_label
_atom_site_type_symbol
_atom_site_fract_x
_atom_site_fract_y
_atom_site_fract_z
_atom_site_occupancy
Li1 Li 0.0000 0.0000 0.0000 1
As1 As 0.0000 0.0000 0.5000 1
C1 C 0.5000 0.5000 0.5000 1
# E_form   1785.0 meV per atom
# N(E_F)   0.480 states/eV per atom
# Final energy   -64.14 eV/cell

No. 6
# SCAN Li2AsOsC, PBEsol geometry
data_Li2AsOsC
_cell_length_a 4.7262
_cell_length_b 4.7262
_cell_length_c 3.7792
_cell_angle_alpha 90.00
_cell_angle_beta 90.00
_cell_angle_gamma 90.00
_symmetry_space_group_name_H-M 'P 4/m m m'
_symmetry_Int_Tables_number 123
_symmetry_space_group_name_Hall '-P 4 2'
loop_
_atom_site_label
_atom_site_type_symbol
_atom_site_fract_x
_atom_site_fract_y
_atom_site_fract_z
_atom_site_occupancy
Li1 Li 0.0000 0.5000 0.0000 1
As1 As 0.0000 0.0000 0.5000 1
Os1 Os 0.5000 0.5000 0.0000 1
C1 C 0.5000 0.5000 0.5000 1
# E_form   1006.8 meV per atom
# N(E_F)   0.507 states/eV per atom
# Final energy   -101.92 eV/cell

No. 7
# SCAN LiAsRu2C, PBEsol geometry
data_LiAsRu2C
_cell_length_a 4.4579
_cell_length_b 4.4579
_cell_length_c 4.2770
_cell_angle_alpha 90.00
_cell_angle_beta 90.00
_cell_angle_gamma 90.00
_symmetry_space_group_name_H-M 'P 4/m m m'
_symmetry_Int_Tables_number 123
_symmetry_space_group_name_Hall '-P 4 2'
loop_
_atom_site_label
_atom_site_type_symbol
_atom_site_fract_x
_atom_site_fract_y
_atom_site_fract_z
_atom_site_occupancy
Li1 Li 0.0000 0.0000 0.0000 1
As1 As 0.0000 0.0000 0.5000 1
Ru1 Ru 0.0000 0.5000 0.5000 1
C1 C 0.5000 0.5000 0.0000 1
# E_form   1848.3 meV per atom
# N(E_F)   0.557 states/eV per atom
# Final energy   -93.09 eV/cell

No. 8
# SCAN Mg2AsC, PBEsol geometry
data_Mg2AsC
_cell_length_a 7.0691
_cell_length_b 7.0691
_cell_length_c 5.1471
_cell_angle_alpha 90.00
_cell_angle_beta 90.00
_cell_angle_gamma 90.00
_symmetry_space_group_name_H-M 'I -4 2 d'
_symmetry_Int_Tables_number 122
_symmetry_space_group_name_Hall 'I -4 2bw'
loop_
_atom_site_label
_atom_site_type_symbol
_atom_site_fract_x
_atom_site_fract_y
_atom_site_fract_z
_atom_site_occupancy
Mg1 Mg 0.1474 0.7500 0.1250 1
As1 As 0.0000 0.0000 0.5000 1
C1 C 0.0000 0.0000 0.0000 1
# E_form   510.1 meV per atom
# N(E_F)   0.661 states/eV per atom
# Final energy   -152.79 eV/cell

No. 9
# SCAN MnAs3C, PBEsol geometry
data_MnAs3C
_cell_length_a 4.2571
_cell_length_b 4.2571
_cell_length_c 4.2571
_cell_angle_alpha 90.00
_cell_angle_beta 90.00
_cell_angle_gamma 90.00
_symmetry_space_group_name_H-M 'P m -3 m'
_symmetry_Int_Tables_number 221
_symmetry_space_group_name_Hall '-P 4 2 3'
loop_
_atom_site_label
_atom_site_type_symbol
_atom_site_fract_x
_atom_site_fract_y
_atom_site_fract_z
_atom_site_occupancy
Mn1 Mn 0.0000 0.0000 0.0000 1
As1 As 0.0000 0.5000 0.5000 1
C1 C 0.5000 0.5000 0.5000 1
# E_form   992.2 meV per atom
# N(E_F)   0.495 states/eV per atom
# Final energy   -83.97 eV/cell

No. 10
# SCAN Na2MnAsCO7, PBEsol geometry
data_Na2MnAsCO7
_cell_length_a 5.3528
_cell_length_b 6.5786
_cell_length_c 9.1540
_cell_angle_alpha 90.00
_cell_angle_beta 91.12
_cell_angle_gamma 90.00
_symmetry_space_group_name_H-M 'P 1 21/m 1'
_symmetry_Int_Tables_number 11
_symmetry_space_group_name_Hall '-P 2yb'
loop_
_atom_site_label
_atom_site_type_symbol
_atom_site_fract_x
_atom_site_fract_y
_atom_site_fract_z
_atom_site_occupancy
Na1 Na 0.2200 0.0024 0.2802 1
Mn1 Mn 0.2270 0.7500 0.8506 1
As1 As 0.2998 0.2500 0.9323 1
C1 C 0.2904 0.7500 0.5773 1
O1 O 0.0817 0.7500 0.6546 1
O2 O 0.1599 0.2500 0.0967 1
O3 O 0.2197 0.0445 0.8271 1
O4 O 0.2797 0.7500 0.4403 1
O5 O 0.3760 0.7500 0.0420 1
O6 O 0.4912 0.7500 0.6572 1
# Final energy   -244.62 eV/cell
# Energy relative to the elements, uncorrected   -1.8096 eV/atom

No. 11
# SCAN Ta2MnAsC, PBEsol geometry
data_Ta2MnAsC
_cell_length_a 4.7142
_cell_length_b 4.7142
_cell_length_c 4.1668
_cell_angle_alpha 90.00
_cell_angle_beta 90.00
_cell_angle_gamma 90.00
_symmetry_space_group_name_H-M 'P 4/m m m'
_symmetry_Int_Tables_number 123
_symmetry_space_group_name_Hall '-P 4 2'
loop_
_atom_site_label
_atom_site_type_symbol
_atom_site_fract_x
_atom_site_fract_y
_atom_site_fract_z
_atom_site_occupancy
Ta1 Ta 0.0000 0.5000 0.0000 1
Mn1 Mn 0.0000 0.0000 0.5000 1
As1 As 0.0000 0.0000 0.0000 1
C1 C 0.5000 0.5000 0.5000 1
# E_form   2108.1 meV per atom
# N(E_F)   0.960 states/eV per atom
# Final energy   -171.17 eV/cell

No. 12
# SCAN MoAs3C, PBEsol geometry
data_MoAs3C
_cell_length_a 4.2076
_cell_length_b 4.2076
_cell_length_c 4.2076
_cell_angle_alpha 90.00
_cell_angle_beta 90.00
_cell_angle_gamma 90.00
_symmetry_space_group_name_H-M 'P m -3 m'
_symmetry_Int_Tables_number 221
_symmetry_space_group_name_Hall '-P 4 2 3'
loop_
_atom_site_label
_atom_site_type_symbol
_atom_site_fract_x
_atom_site_fract_y
_atom_site_fract_z
_atom_site_occupancy
Mo1 Mo 0.0000 0.0000 0.0000 1
As1 As 0.0000 0.5000 0.5000 1
C1 C 0.5000 0.5000 0.5000 1
# E_form   1235.4 meV per atom
# N(E_F)   0.617 states/eV per atom
# Final energy   -99.38 eV/cell